Computed, not measured: crystalline Tb3Tl3VO8 at its relaxed geometry at the GGA+U level of DFT.

Cell: 6.8005 6.8005 19.5975 Å, 90.00 90.00 120.00°
Closest atoms and distances in Å follow each position.
Space group R-3m (No. 166, hexagonal axes)
One atom of each set of equivalent atoms:
Tb: 0.0000 0.5000 0.0000 [9 per cell]  6 O 2.26-2.33
Tl: 0.0000 0.5000 0.5000 [9 per cell]  6 O 2.90-2.91
V: 0.0000 0.0000 0.0000 [3 per cell]  6 O 2.04
O: 0.0000 0.0000 0.2763 [6 per cell]  3 Tb 2.26
O: 0.0359 0.5180 0.7201 [18 per cell]  1 V 2.04

**Raw total energy**: -6.792 eV/atom